1.
DFT (meta-GGA SCAN) results for a crystal of SbH3F relaxed with PBEsol.

Calculated values
As for the total magnetic moment: 0.000 μB/atom. The total energy comes out at -10.295 eV per atom.

Cell lengths 3.694, 3.694, 3.694 Å; angles 90.00, 90.00, 90.00 degrees
Element x y z (fractional)
Sb 0.000 0.000 0.000
H 0.000 0.000 0.500
H 0.000 0.500 0.000
H 0.500 0.000 0.000
F 0.500 0.500 0.500



2.
DFT (meta-GGA SCAN) results for a crystal of Sc2HF relaxed with PBEsol.

Calculated values
As for the total magnetic moment: 0.180 μB/atom. The total energy comes out at -9.846 eV per atom.

Cell lengths 7.189, 7.189, 7.189 Å; angles 25.22, 25.22, 25.22 degrees
Element x y z (fractional)
Sc 0.086 0.086 0.086
Sc 0.914 0.914 0.914
H 0.000 0.000 0.000
F 0.500 0.500 0.500



3.
DFT (meta-GGA SCAN) results for a crystal of ScH3F relaxed with PBEsol.

Calculated values
As for the total magnetic moment: 0.149 μB/atom. The total energy comes out at -5.305 eV per atom.

Cell lengths 3.476, 3.476, 3.476 Å; angles 90.00, 90.00, 90.00 degrees
Element x y z (fractional)
Sc 0.000 0.000 0.000
H 0.000 0.500 0.500
H 0.500 0.000 0.500
H 0.500 0.500 0.000
F 0.500 0.500 0.500



4.
DFT (meta-GGA SCAN) results for a crystal of H3SeF relaxed with PBEsol.

Calculated values
As for the total magnetic moment: 0.006 μB/atom. The total energy comes out at -5.901 eV per atom.

Cell lengths 3.405, 3.405, 3.405 Å; angles 90.00, 90.00, 90.00 degrees
Element x y z (fractional)
H 0.000 0.000 0.500
H 0.000 0.500 0.000
H 0.500 0.000 0.000
Se 0.500 0.500 0.500
F 0.000 0.000 0.000



5.
DFT (meta-GGA SCAN) results for a crystal of HSe2F relaxed with PBEsol.

Calculated values
As for the total magnetic moment: 0.000 μB/atom. The total energy comes out at -11.626 eV per atom.

Cell lengths 7.644, 7.644, 7.644 Å; angles 148.66, 148.66, 44.91 degrees
Element x y z (fractional)
H 0.000 0.000 0.000
H 0.750 0.250 0.500
Se 0.037 0.625 0.912
Se 0.375 0.287 0.412
Se 0.713 0.125 0.088
Se 0.875 0.963 0.588
F 0.250 0.750 0.500
F 0.500 0.500 0.000



6.
DFT (meta-GGA SCAN) results for a crystal of SiH3F relaxed with PBEsol.

Calculated values
As for the total magnetic moment: 0.000 μB/atom. The total energy comes out at -5.587 eV per atom.

Cell lengths 4.505, 8.012, 8.110 Å; angles 90.00, 122.36, 90.00 degrees
Element x y z (fractional)
Si 0.067 0.222 0.141
Si 0.067 0.278 0.641
Si 0.933 0.722 0.359
Si 0.933 0.778 0.859
H 0.123 0.094 0.650
H 0.123 0.406 0.150
H 0.275 0.671 0.388
H 0.275 0.829 0.888
H 0.371 0.131 0.305
H 0.371 0.369 0.805
H 0.629 0.631 0.195
H 0.629 0.869 0.695
H 0.725 0.171 0.112
H 0.725 0.329 0.612
H 0.877 0.594 0.850
H 0.877 0.906 0.350
F 0.049 0.163 0.941
F 0.049 0.337 0.441
F 0.951 0.663 0.559
F 0.951 0.837 0.059



7.
DFT (meta-GGA SCAN) results for a crystal of SnHF2 relaxed with PBEsol.

Calculated values
As for the total magnetic moment: 0.247 μB/atom. The total energy comes out at -12.686 eV per atom.

Cell lengths 4.127, 4.127, 4.127 Å; angles 60.00, 60.00, 60.00 degrees
Element x y z (fractional)
Sn 0.000 0.000 0.000
H 0.500 0.500 0.500
F 0.250 0.250 0.250
F 0.750 0.750 0.750



8.
DFT (meta-GGA SCAN) results for a crystal of SrH3F relaxed with PBEsol.

Calculated values
As for the total magnetic moment: 0.400 μB/atom. The total energy comes out at -7.180 eV per atom.

Cell lengths 3.844, 3.844, 3.844 Å; angles 90.00, 90.00, 90.00 degrees
Element x y z (fractional)
Sr 0.000 0.000 0.000
H 0.000 0.500 0.500
H 0.500 0.000 0.500
H 0.500 0.500 0.000
F 0.500 0.500 0.500